Compound: PmAg2SbO4
Source: the Alexandria database
Functional: GGA-PBE
Structure: optimized geometry

Unit cell a=8.853 b=10.781 c=6.805 alpha=90.00 beta=127.64 gamma=90.00
Space group C2/c (No. 15)
One atom of each set of equivalent atoms:
1 Pm 0.250 0.250 0.000
2 Ag 0.000 0.000 0.000
3 Ag 0.250 0.250 0.500
4 Sb 0.000 0.500 0.000
5 O 0.035 0.283 0.556
6 O 0.226 0.472 0.939

Values from the calculation:
* uncorrected energy: -5.61 eV/atom
* energy relative to the elements, uncorrected: -126.5 kJ/mol of atoms

Compound: Ce2CuB2Rh5
Source: the Alexandria database
Functional: GGA-PBE
Structure: optimized geometry

Unit cell a=9.423 b=9.423 c=3.315 alpha=90.00 beta=90.00 gamma=90.00
Space group P4/mbm (No. 127)
One atom of each set of equivalent atoms:
1 Ce 0.177 0.323 0.000
2 Cu 0.000 0.000 0.000
3 B 0.122 0.622 0.000
4 Rh 0.000 0.500 0.500
5 Rh 0.071 0.781 0.500

Values from the calculation:
* uncorrected energy: -7.21 eV/atom
* calculated formation energy: -0.603 eV/atom
* N(E_F): 5.788 states/eV/f.u.

Compound: Ce4Hg3Sb
Source: the Alexandria database
Functional: GGA-PBE
Structure: optimized geometry

Unit cell a=3.960 b=3.960 c=14.352 alpha=90.00 beta=90.00 gamma=90.00
Space group P4/mmm (No. 123)
One atom of each set of equivalent atoms:
1 Ce 0.000 0.000 0.120
2 Ce 0.000 0.000 0.374
3 Hg 0.500 0.500 0.253
4 Hg 0.500 0.500 0.500
5 Sb 0.500 0.500 0.000

Values from the calculation:
* uncorrected energy: -4.03 eV/atom
* N(E_F): 30.966 states/eV/f.u.
* energy relative to the elements, uncorrected: -42.2 kJ/mol of atoms

Compound: TbAgAs2
Source: the Alexandria database
Functional: GGA-PBE
Structure: optimized geometry

Unit cell a=4.619 b=4.619 c=3.873 alpha=90.00 beta=90.00 gamma=90.00
Space group P4/mmm (No. 123)
One atom of each set of equivalent atoms:
1 Tb 0.000 0.000 0.000
2 Ag 0.500 0.500 0.000
3 As 0.000 0.500 0.500

Values from the calculation:
* uncorrected energy: -4.77 eV/atom
* calculated formation energy: -0.573 eV/atom
* N(E_F): 2.359 states/eV/f.u.

Compound: TcSb2Rh
Source: the Alexandria database
Functional: GGA-PBE
Structure: optimized geometry

Unit cell a=3.2382 b=3.2382 c=24.4117 alpha=90.00 beta=90.00 gamma=120.00
Space group R-3m (No. 166, hexagonal axes)
One atom of each set of equivalent atoms:
1 Tc 0.0000 0.0000 0.0000
2 Sb 0.0000 0.0000 0.2507
3 Rh 0.0000 0.0000 0.5000

Values from the calculation:
* uncorrected energy: -6.46 eV/atom
* offset from the most stable computed form: 98 meV per atom
* N(E_F): 3.309 states/eV/f.u.
* energy relative to the elements, uncorrected: 3.0 kJ/mol of atoms

Compound: YSeO3F
Source: the Alexandria database
Functional: GGA-PBE
Structure: optimized geometry

Unit cell a=6.673 b=7.011 c=7.297 alpha=90.00 beta=98.62 gamma=90.00
Space group P2_1/c (No. 14)
One atom of each set of equivalent atoms:
1 Y 0.142 0.140 0.325
2 Se 0.350 0.621 0.288
3 O 0.174 0.030 0.648
4 O 0.174 0.694 0.778
5 O 0.488 0.188 0.361
6 F 0.169 0.119 0.026

Values from the calculation:
* uncorrected energy: -6.83 eV/atom
* offset from the most stable computed form: 24 meV per atom
* N(E_F): 0.000 states/eV/f.u.
* energy relative to the elements, uncorrected: -229.3 kJ/mol of atoms

Compound: Ta2AuCl
Source: the Alexandria database
Functional: GGA-PBE
Structure: optimized geometry

Unit cell a=3.033 b=3.033 c=7.204 alpha=90.00 beta=90.00 gamma=90.00
Space group P4/mmm (No. 123)
One atom of each set of equivalent atoms:
1 Ta 0.000 0.000 0.231
2 Au 0.500 0.500 0.500
3 Cl 0.500 0.500 0.000

Values from the calculation:
* uncorrected energy: -6.96 eV/atom
* offset from the most stable computed form: 394 meV per atom
* N(E_F): 1.260 states/eV/f.u.
* energy relative to the elements, uncorrected: 23.8 kJ/mol of atoms

Compound: Cs2AgBiBr6
Source: the Alexandria database
Functional: GGA-PBE
Structure: optimized geometry

Unit cell a=11.475 b=11.475 c=11.475 alpha=90.00 beta=90.00 gamma=90.00
Space group Fm-3m (No. 225)
One atom of each set of equivalent atoms:
1 Cs 0.250 0.250 0.250
2 Ag 0.000 0.000 0.000
3 Bi 0.000 0.000 0.500
4 Br 0.000 0.000 0.249

Values from the calculation:
* uncorrected energy: -2.97 eV/atom
* energy relative to the elements, uncorrected: -108.5 kJ/mol of atoms

Q: Which value of uncorrected energy does entry 1 give?
A: -5.61 eV/atom

Q: The highest uncorrected energy belongs to which entry?
A: Cs2AgBiBr6

Q: Among the records above, which one has the highest uncorrected energy?
A: Cs2AgBiBr6